VASP calculation (PBE) on BaZrBe4 after structural relaxation.

a = 5.107 Å, b = 5.107 Å, c = 5.107 Å
α = 60.00°, β = 60.00°, γ = 60.00°
Positions (direct):
Ba (0.000, 0.000, 0.000)
Zr (0.250, 0.250, 0.250)
Be (0.163, 0.612, 0.612)
Be (0.612, 0.163, 0.612)
Be (0.612, 0.612, 0.163)
Be (0.612, 0.612, 0.612)

total DFT energy (no corrections): -22.66 eV per cell
space-group type: F-43m, No. 216